VCrS4 after structural relaxation, computed with PBE.

Geometry as POSCAR:
```
VCrS4
1.0
3.230 -0.001 -0.001
-1.608 6.487 -1.091
0.001 -0.045 5.480
Cr S V
1 4 1
direct
0.500 0.000 0.500 Cr
0.111 0.222 0.384 S
0.388 0.775 0.120 S
0.612 0.225 0.880 S
0.889 0.778 0.616 S
0.000 0.000 0.000 V
```

Calculated values
Formation energy from raw total energies (eV per atom): -0.70
Electronic total energy (eV per atom): -6.577
Space-group type: No. 12
Total moment (μB/f.u.): 1.82
Excess energy over the best structure of this formula in the dataset (meV per atom): 0